[1]
# KCdHg2Au

Crystalline KCdHg2Au at its relaxed geometry (PBE, Alexandria).

- crystal system = tetragonal
- polymorph energy (0 for the lowest one) (meV/atom) = 139.3
- magnetic moment (μB per formula unit) = 0.0
- formation energy (eV/atom) = -0.066

a = 5.716 Å, b = 5.716 Å, c = 5.406 Å
α = 90.00°, β = 90.00°, γ = 90.00°
Element x y z (fractional)
1 K 0.000 0.000 0.000
2 Cd 0.500 0.500 0.500
3 Hg 0.000 0.500 0.500
4 Hg 0.500 0.000 0.500
5 Au 0.500 0.500 0.000



[2]
# KCdHg2Au

Crystalline KCdHg2Au at its relaxed geometry (PBE, Alexandria).

- crystal system = tetragonal
- polymorph energy (0 for the lowest one) (meV/atom) = 180.5
- magnetic moment (μB per formula unit) = 0.0
- formation energy (eV/atom) = -0.025

a = 5.470 Å, b = 5.470 Å, c = 6.159 Å
α = 90.00°, β = 90.00°, γ = 90.00°
Element x y z (fractional)
1 K 0.000 0.000 0.000
2 Cd 0.500 0.500 0.000
3 Hg 0.000 0.500 0.500
4 Hg 0.500 0.000 0.500
5 Au 0.000 0.000 0.500



[3]
# KCdHg2Au

Crystalline KCdHg2Au at its relaxed geometry (PBE, Alexandria).

- crystal system = tetragonal
- polymorph energy (0 for the lowest one) (meV/atom) = 78.1
- magnetic moment (μB per formula unit) = 0.0
- formation energy (eV/atom) = -0.127

a = 5.484 Å, b = 5.484 Å, c = 5.398 Å
α = 90.00°, β = 90.00°, γ = 90.00°
Element x y z (fractional)
1 K 0.000 0.000 0.000
2 Cd 0.500 0.500 0.000
3 Hg 0.000 0.500 0.500
4 Hg 0.500 0.000 0.500
5 Au 0.500 0.500 0.500



[4]
# K2CdHg4Au3

Crystalline K2CdHg4Au3 at its relaxed geometry (PBE, Alexandria).

- crystal system = tetragonal
- magnetic moment (μB per formula unit) = 0.0
- formation energy (eV/atom) = -0.177

a = 4.738 Å, b = 4.738 Å, c = 12.423 Å
α = 90.00°, β = 90.00°, γ = 90.00°
Element x y z (fractional)
1 K 0.000 0.500 0.241
2 K 0.500 0.000 0.759
3 Cd 0.000 0.000 0.500
4 Hg 0.000 0.000 0.000
5 Hg 0.000 0.500 0.640
6 Hg 0.500 0.000 0.360
7 Hg 0.500 0.500 0.000
8 Au 0.000 0.500 0.863
9 Au 0.500 0.000 0.137
10 Au 0.500 0.500 0.500



[5]
# K2CdHgAu

Crystalline K2CdHgAu at its relaxed geometry (PBE, Alexandria).

- crystal system = tetragonal
- polymorph energy (0 for the lowest one) (meV/atom) = 0.0
- magnetic moment (μB per formula unit) = 0.0
- formation energy (eV/atom) = -0.214

a = 4.714 Å, b = 4.714 Å, c = 15.347 Å
α = 90.00°, β = 90.00°, γ = 90.00°
Element x y z (fractional)
1 K 0.250 0.250 0.160
2 K 0.250 0.250 0.679
3 K 0.750 0.750 0.321
4 K 0.750 0.750 0.840
5 Cd 0.250 0.750 0.500
6 Cd 0.750 0.250 0.500
7 Hg 0.250 0.250 0.940
8 Hg 0.750 0.750 0.060
9 Au 0.250 0.250 0.389
10 Au 0.750 0.750 0.611



[6]
# LaCdHgAu

Crystalline LaCdHgAu at its relaxed geometry (PBE, Alexandria).

- crystal system = cubic
- magnetic moment (μB per formula unit) = 0.0
- formation energy (eV/atom) = -0.551

a = 5.174 Å, b = 5.174 Å, c = 5.174 Å
α = 60.00°, β = 60.00°, γ = 60.00°
Element x y z (fractional)
1 La 0.000 0.000 0.000
2 Cd 0.500 0.500 0.500
3 Hg 0.750 0.750 0.750
4 Au 0.250 0.250 0.250



The records above give, respectively, raw total energy values of -1.24 -1.20 -1.31 -1.59 -1.55 -2.91 eV/atom.